# 1
# CrInNi2H

A geometry-optimized CrInNi2H structure (PBE, Alexandria).

abc: 3.9062 3.9062 3.8151
angles: 90.00 90.00 90.00
Closest atoms and distances in Å follow each position.
Atoms (fractional coordinates):
Cr: 0.0000 0.0000 0.0000  2 H 1.91
In: 0.5000 0.5000 0.0000  8 Ni 2.73, 4 Cr 2.76
Ni: 0.0000 0.5000 0.5000  2 H 1.95
Ni: 0.5000 0.0000 0.5000  2 H 1.95
H: 0.0000 0.0000 0.5000  2 Cr 1.91, 4 Ni 1.95

Output
magnetic moment: 0.81 μB/atom
theoretical density: 8.1 Mg/m³
offset from the most stable computed form: 0.000 eV per atom
symmetry: P4/mmm (123)
electronic total energy: -27.21 eV per cell

***

# 2
# CrIn2HPb

A geometry-optimized CrIn2HPb structure (PBE, Alexandria).

abc: 5.4628 5.4628 3.5152
angles: 90.00 90.00 90.00
Closest atoms and distances in Å follow each position.
Atoms (fractional coordinates):
Cr: 0.0000 0.0000 0.0000  2 H 1.76
In: 0.0000 0.5000 0.5000  2 H 2.73
In: 0.5000 0.0000 0.5000  2 H 2.73
H: 0.0000 0.0000 0.5000  2 Cr 1.76
Pb: 0.5000 0.5000 0.0000  8 In 3.25, 2 Pb 3.52

Output
magnetic moment: 0.78 μB/atom
theoretical density: 7.8 Mg/m³
symmetry: P4/mmm (123)
electronic total energy: -20.46 eV per cell

***

# 3
# Sc2CrInH

A geometry-optimized Sc2CrInH structure (PBE, Alexandria).

abc: 4.5515 4.5515 3.9660
angles: 90.00 90.00 90.00
Closest atoms and distances in Å follow each position.
Atoms (fractional coordinates):
Sc: 0.0000 0.5000 0.0000  2 H 2.28
Sc: 0.5000 0.0000 0.0000  2 H 2.28
Cr: 0.0000 0.0000 0.5000  2 H 1.98
In: 0.5000 0.5000 0.5000  8 Sc 3.02, 4 Cr 3.22
H: 0.0000 0.0000 0.0000  2 Cr 1.98

Output
magnetic moment: 0.52 μB/atom
theoretical density: 5.2 Mg/m³
symmetry: P4/mmm (123)
electronic total energy: -29.32 eV per cell

***

Q: Which value of magnetic moment does entry 2 give?
A: 0.78 μB/atom

***

Copy entry 2 word for word.
# CrIn2HPb

A geometry-optimized CrIn2HPb structure (PBE, Alexandria).

abc: 5.4628 5.4628 3.5152
angles: 90.00 90.00 90.00
Closest atoms and distances in Å follow each position.
Atoms (fractional coordinates):
Cr: 0.0000 0.0000 0.0000  2 H 1.76
In: 0.0000 0.5000 0.5000  2 H 2.73
In: 0.5000 0.0000 0.5000  2 H 2.73
H: 0.0000 0.0000 0.5000  2 Cr 1.76
Pb: 0.5000 0.5000 0.0000  8 In 3.25, 2 Pb 3.52

Output
magnetic moment: 0.78 μB/atom
theoretical density: 7.8 Mg/m³
symmetry: P4/mmm (123)
electronic total energy: -20.46 eV per cell

***

Q: Among the records above, which one has the lowest electronic total energy?
A: Sc2CrInH

***

Please write out number 1 again, unchanged.
# CrInNi2H

A geometry-optimized CrInNi2H structure (PBE, Alexandria).

abc: 3.9062 3.9062 3.8151
angles: 90.00 90.00 90.00
Closest atoms and distances in Å follow each position.
Atoms (fractional coordinates):
Cr: 0.0000 0.0000 0.0000  2 H 1.91
In: 0.5000 0.5000 0.0000  8 Ni 2.73, 4 Cr 2.76
Ni: 0.0000 0.5000 0.5000  2 H 1.95
Ni: 0.5000 0.0000 0.5000  2 H 1.95
H: 0.0000 0.0000 0.5000  2 Cr 1.91, 4 Ni 1.95

Output
magnetic moment: 0.81 μB/atom
theoretical density: 8.1 Mg/m³
offset from the most stable computed form: 0.000 eV per atom
symmetry: P4/mmm (123)
electronic total energy: -27.21 eV per cell